Here is crystalline DyCdAg2 at its relaxed geometry from Alexandria. Energies are from GGA-PBE.

Summary:
Space-group type = Fm-3m
Energy of formation = -0.28 eV/atom

Cell lengths 4.946, 4.946, 4.946 Å; angles 60.00, 60.00, 60.00 degrees
Atoms (fractional coordinates):
1 Dy 0.000 0.000 0.000
2 Cd 0.500 0.500 0.500
3 Ag 0.250 0.250 0.250
4 Ag 0.750 0.750 0.750

Here is crystalline Nd2GdPd at its relaxed geometry from Alexandria. Energies are from GGA-PBE.

Summary:
Space-group type = P4/mmm
Offset from the most stable computed form = 0 meV/atom
Energy of formation = -0.33 eV/atom

Cell lengths 3.681, 3.681, 8.595 Å; angles 90.00, 90.00, 90.00 degrees
Atoms (fractional coordinates):
1 Nd 0.000 0.000 0.201
2 Nd 0.000 0.000 0.799
3 Gd 0.500 0.500 0.500
4 Pd 0.500 0.500 0.000

Here is crystalline SrAlGa2Au5 at its relaxed geometry from Alexandria. Energies are from GGA-PBE.

Summary:
Space-group type = Immm
Energy of formation = -0.32 eV/atom

Cell lengths 7.803, 7.803, 7.803 Å; angles 143.18, 133.81, 60.48 degrees
Atoms (fractional coordinates):
1 Sr 0.000 0.000 0.000
2 Al 0.500 0.500 0.000
3 Ga 0.311 0.811 0.500
4 Ga 0.689 0.189 0.500
5 Au 0.089 0.345 0.744
6 Au 0.398 0.655 0.744
7 Au 0.500 0.000 0.500
8 Au 0.602 0.345 0.256
9 Au 0.911 0.655 0.256

Here is crystalline KYPb2Cl8 at its relaxed geometry from Alexandria. Energies are from GGA-PBE.

Summary:
Space-group type = P2/m
Uncorrected formation energy = -1.6672 eV per atom

Cell lengths 6.563, 8.887, 6.834 Å; angles 90.00, 90.89, 90.00 degrees
Atoms (fractional coordinates):
1 K 0.000 0.000 0.000
2 Y 0.000 0.500 0.000
3 Pb 0.500 0.249 0.500
4 Pb 0.500 0.751 0.500
5 Cl 0.229 0.284 0.159
6 Cl 0.229 0.716 0.159
7 Cl 0.244 0.500 0.687
8 Cl 0.278 0.000 0.641
9 Cl 0.722 0.000 0.359
10 Cl 0.756 0.500 0.313
11 Cl 0.771 0.284 0.841
12 Cl 0.771 0.716 0.841

Here is crystalline Ce4N3F at its relaxed geometry from Alexandria. Energies are from GGA-PBE.

Summary:
Space-group type = Cmmm
Uncorrected formation energy = -1.8003 eV per atom

Cell lengths 6.183, 6.183, 3.565 Å; angles 90.00, 90.00, 109.21 degrees
Atoms (fractional coordinates):
1 Ce 0.238 0.238 0.500
2 Ce 0.245 0.755 0.000
3 Ce 0.755 0.245 0.000
4 Ce 0.762 0.762 0.500
5 N 0.000 0.000 0.000
6 N 0.000 0.500 0.500
7 N 0.500 0.000 0.500
8 F 0.500 0.500 0.000

Here is crystalline PmPr8Th2 at its relaxed geometry from Alexandria. Energies are from GGA-PBE.

Summary:
Space-group type = Immm
Energy of formation = 0.15 eV/atom

Cell lengths 9.591, 9.591, 9.591 Å; angles 144.83, 128.20, 64.16 degrees
Atoms (fractional coordinates):
1 Pm 0.000 0.000 0.000
2 Pr 0.156 0.861 0.295
3 Pr 0.161 0.661 0.500
4 Pr 0.296 0.500 0.796
5 Pr 0.433 0.139 0.295
6 Pr 0.567 0.861 0.705
7 Pr 0.704 0.500 0.204
8 Pr 0.839 0.339 0.500
9 Pr 0.844 0.139 0.705
10 Th 0.300 0.300 0.000
11 Th 0.700 0.700 0.000

Sequential total magnetic moment output: 0.00, 8.40, 0.00, 0.00, 0.00, 0.00 μB/f.u.
Sequential D(E_F) output: 0.687, 1.494, 0.379, 0.000, 1.089, 1.522 states/eV/atom
Sequential raw total energy output: -3.083, -7.528, -3.416, -4.147, -8.123, -5.105 eV/atom